[1]
Compound: AgPbCl2
Source: Alexandria
Functional: GGA-PBE
Structure: optimized geometry

a = 6.892 Å, b = 6.892 Å, c = 4.583 Å
α = 70.59°, β = 70.59°, γ = 29.82°
Sites, in units of the cell vectors:
1 Pb 0.568 0.568 0.432
2 Ag 0.274 0.274 0.226
3 Cl 0.942 0.942 0.059
4 Cl 0.716 0.716 0.784

Values from the calculation:
Its space-group type is No. 44. The magnetic moment comes out at 0.00 μB/cell. The calculation puts the energy above the most stable polymorph in this dataset at 0.000 eV per atom. As for the uncorrected formation energy: -48.0 kJ/mol of atoms.

[2]
Compound: LiZnAg4
Source: Alexandria
Functional: GGA-PBE
Structure: optimized geometry

a = 7.073 Å, b = 7.073 Å, c = 4.377 Å
α = 51.92°, β = 51.92°, γ = 36.49°
Sites, in units of the cell vectors:
1 Li 0.500 0.500 0.500
2 Zn 0.000 0.000 0.000
3 Ag 0.343 0.343 0.315
4 Ag 0.657 0.657 0.685
5 Ag 0.156 0.156 0.189
6 Ag 0.844 0.844 0.811

Values from the calculation:
Its space-group type is No. 12. The magnetic moment comes out at 0.00 μB/cell. The calculation puts the energy of formation at -109 meV per atom. The calculation puts the energy above the most stable polymorph in this dataset at 0.000 eV per atom.